DFT (PBE) results for a relaxed BeAsPb crystal.

abc: 3.7627 3.7627 9.8938
angles: 98.47 98.47 98.63
Element x y z (fractional)
1 Be 0.2038 0.7962 0.0000
2 Be 0.7962 0.2038 0.0000
3 As 0.2530 0.2530 0.8698
4 As 0.7470 0.7470 0.1302
5 Pb 0.1866 0.1866 0.3822
6 Pb 0.8134 0.8134 0.6178

Computed properties:
space group = C2/m, No. 12
energy relative to the elements = 0.00 eV per atom
E = -4.030 eV/atom
DOS at the Fermi energy = 0.302 states/eV per atom

---

DFT (PBE) results for a relaxed BeAs2Pb crystal.

abc: 5.9388 5.9388 4.7829
angles: 112.58 112.58 35.12
Element x y z (fractional)
1 Be 0.0000 0.0000 0.0000
2 As 0.4149 0.4149 0.1647
3 As 0.5432 0.5432 0.7593
4 Pb 0.7308 0.7308 0.4512

Computed properties:
space group = Cm, No. 8
energy relative to the elements = 0.16 eV per atom
E = -4.025 eV/atom
DOS at the Fermi energy = 0.320 states/eV per atom

---

DFT (PBE) results for a relaxed BeAs2Pb crystal.

abc: 4.8754 4.8754 4.8754
angles: 60.00 60.00 60.00
Element x y z (fractional)
1 Be 0.0000 0.0000 0.0000
2 As 0.5000 0.5000 0.5000
3 As 0.7500 0.7500 0.7500
4 Pb 0.2500 0.2500 0.2500

Computed properties:
space group = F-43m, No. 216
energy relative to the elements = 0.65 eV per atom
E = -3.537 eV/atom
DOS at the Fermi energy = 0.785 states/eV per atom